# 1
The following is a DFT calculation (PBE-GGA) of an optimized crystal structure of Na5P2Au.

Values from the calculation:
The value obtained for the formation energy from the elements is -411.6 meV per atom.

a = 5.027 Å, b = 5.027 Å, c = 17.457 Å
α = 90.00°, β = 90.00°, γ = 120.00°
Positions (direct):
Na 0.000 0.000 0.137
Na 0.000 0.000 0.363
Na 0.000 0.000 0.637
Na 0.000 0.000 0.863
Na 0.333 0.667 0.051
Na 0.333 0.667 0.250
Na 0.333 0.667 0.449
Na 0.667 0.333 0.551
Na 0.667 0.333 0.750
Na 0.667 0.333 0.949
P 0.333 0.667 0.614
P 0.333 0.667 0.886
P 0.667 0.333 0.114
P 0.667 0.333 0.386
Au 0.333 0.667 0.750
Au 0.667 0.333 0.250

# 2
The following is a DFT calculation (PBE-GGA) of an optimized crystal structure of Sc5Cd2Si2.

Values from the calculation:
The density of states at the Fermi level is 0.71 states/eV per atom. The calculation puts the energy relative to the elements, uncorrected at -0.5188 eV/atom.

a = 8.466 Å, b = 8.466 Å, c = 7.034 Å
α = 90.00°, β = 90.00°, γ = 49.06°
Positions (direct):
Sc 0.000 0.000 0.000
Sc 0.061 0.697 0.678
Sc 0.197 0.561 0.178
Sc 0.303 0.939 0.678
Sc 0.439 0.803 0.178
Sc 0.500 0.500 0.500
Sc 0.561 0.197 0.822
Sc 0.697 0.061 0.322
Sc 0.803 0.439 0.822
Sc 0.939 0.303 0.322
Cd 0.223 0.223 0.000
Cd 0.277 0.277 0.500
Cd 0.723 0.723 0.500
Cd 0.777 0.777 0.000
Si 0.122 0.878 0.376
Si 0.378 0.622 0.876
Si 0.622 0.378 0.124
Si 0.878 0.122 0.624

# 3
The following is a DFT calculation (PBE-GGA) of an optimized crystal structure of AlPS2Br.

Values from the calculation:
The density of states at the Fermi level is 0.78 states/eV per atom. The calculation puts the energy relative to the elements, uncorrected at 0.3838 eV/atom. As for the energy above the lowest structure with this stoichiometry: 0 meV/atom.

a = 4.463 Å, b = 4.463 Å, c = 5.301 Å
α = 90.00°, β = 90.00°, γ = 90.00°
Positions (direct):
Al 0.000 0.000 0.000
P 0.000 0.000 0.500
S 0.000 0.500 0.000
S 0.500 0.000 0.000
Br 0.500 0.500 0.500

# 4
The following is a DFT calculation (PBE-GGA) of an optimized crystal structure of LaNdDyTm3.

Values from the calculation:
The density of states at the Fermi level is 1.97 states/eV per atom. The value obtained for the formation energy from the elements is 106.5 meV per atom.

a = 6.464 Å, b = 6.464 Å, c = 11.656 Å
α = 90.00°, β = 90.00°, γ = 126.45°
Positions (direct):
La 0.005 0.995 0.750
La 0.995 0.005 0.250
Nd 0.500 0.500 0.000
Nd 0.500 0.500 0.500
Dy 0.324 0.676 0.750
Dy 0.676 0.324 0.250
Tm 0.175 0.825 0.004
Tm 0.175 0.825 0.496
Tm 0.329 0.671 0.250
Tm 0.671 0.329 0.750
Tm 0.825 0.175 0.504
Tm 0.825 0.175 0.996

| no. | size of the total moment (μB per atom) | mass density (g cm⁻³) |
| --- | --- | --- |
| 1 | 0.000 | 3.3 |
| 2 | 0.000 | 4.4 |
| 3 | 0.088 | 3.2 |
| 4 | 0.000 | 8.1 |